(1)
VASP calculation (PBEsol) on HoAl3 after structural relaxation.

abc: 4.202 4.202 4.202
angles: 90.00 90.00 90.00
Positions (direct):
Ho: 0.000 0.000 0.000
Al: 0.000 0.500 0.500
Al: 0.500 0.000 0.500
Al: 0.500 0.500 0.000

Computed properties:
DFT total energy = -4.748 eV/atom
calculated formation energy = -0.44 eV/atom
total magnetization = 0.00 μB per cell

(2)
VASP calculation (PBEsol) on BaLi2S2 after structural relaxation.

abc: 6.958 6.958 6.958
angles: 147.12 147.12 47.19
Positions (direct):
Ba: 0.000 0.000 0.000
Li: 0.250 0.750 0.500
Li: 0.750 0.250 0.500
S: 0.361 0.361 0.000
S: 0.639 0.639 0.000

Computed properties:
DFT total energy = -4.602 eV/atom
uncorrected formation energy = -1632 meV per atom
total magnetization = 0.00 μB per cell